A relaxed Cs2TlV2O7 crystal, computed with GGA+U.

a b c (Å): 6.3973 6.3973 8.4011
angles (deg): 67.62 67.62 60.00
Last column: magnetic moment on the atom in μB.
Fractional coordinates of all 12 atoms:
1 Cs 0.7515 0.7515 0.7456  0.00
2 Cs 0.2485 0.2485 0.2544  0.00
3 Tl 0.5000 0.5000 0.5000  0.31
4 V 0.9197 0.9197 0.2409  0.12
5 V 0.0803 0.0803 0.7591  0.12
6 O 0.1899 0.7481 0.3137  0.05
7 O 0.7482 0.1899 0.3137  0.05
8 O 0.7481 0.7482 0.3137  0.05
9 O 0.2518 0.2519 0.6863  0.05
10 O 0.8101 0.2518 0.6863  0.05
11 O 0.0000 0.0000 0.0000  -0.01
12 O 0.2519 0.8101 0.6863  0.05

Summary:
Crystal system: trigonal
Calculated volume (Å³/atom): 22.3
Electronic total energy (eV per atom): -6.183